DFT (GGA-PBE) results for an optimized crystal structure of LiMn2Zn.

For the formation energy, the calculation gives 0.233 eV/atom.

It has space group P4/mmm (No. 123), with a = 3.907 Å, b = 3.907 Å, c = 3.646 Å, α = 90.00°, β = 90.00° and γ = 90.00°. The inequivalent atoms are Li at (0.000, 0.000, 0.000), Mn at (0.000, 0.500, 0.500) and Zn at (0.500, 0.500, 0.000).


DFT (GGA-PBE) results for an optimized crystal structure of LiMnZn2.

For the formation energy, the calculation gives -0.060 eV/atom.

It has space group P4/mmm (No. 123), with a = 4.378 Å, b = 4.378 Å, c = 2.904 Å, α = 90.00°, β = 90.00° and γ = 90.00°. The inequivalent atoms are Li at (0.000, 0.000, 0.000), Mn at (0.500, 0.500, 0.000) and Zn at (0.000, 0.500, 0.500).


DFT (GGA-PBE) results for an optimized crystal structure of Li2MnZn.

For the formation energy, the calculation gives 0.087 eV/atom.

It has space group I-4m2 (No. 119), with a = 4.342 Å, b = 4.342 Å, c = 6.179 Å, α = 90.00°, β = 90.00° and γ = 90.00°. The inequivalent atoms are Li at (0.000, 0.000, 0.000), Li at (0.000, 0.500, 0.250), Mn at (0.000, 0.000, 0.500) and Zn at (0.000, 0.500, 0.750).